1.
# BiSb2Se2

An optimized crystal structure of BiSb2Se2 (PBE, the Alexandria database). Values from VASP.

As for the symmetry: P4/mbm, No. 127. The calculation puts the density of states at the Fermi level at 2.7 states/eV per cell. As for the crystal system: tetragonal. The energy above the most stable polymorph in this dataset comes out at 0 meV per atom.

Cell and atoms, written as Quantum ESPRESSO input:
```
&SYSTEM
  ibrav = 0, nat = 10, ntyp = 3
/
ATOMIC_SPECIES
Bi 208.98 Bi.upf
Se 78.96 Se.upf
Sb 121.76 Sb.upf
CELL_PARAMETERS angstrom
9.096 0.000 0.000
0.000 9.096 0.000
0.000 0.000 3.708
ATOMIC_POSITIONS angstrom
Bi 4.548 4.548 0.000
Se 5.742 7.902 1.854
Se 7.902 3.354 1.854
Sb 2.521 7.068 0.000
Bi 0.000 0.000 0.000
Se 1.194 5.742 1.854
Sb 6.575 2.027 0.000
Sb 7.068 6.575 0.000
Se 3.354 1.194 1.854
Sb 2.027 2.521 0.000
```

***

2.
# Bi2SbSe

An optimized crystal structure of Bi2SbSe (PBE, the Alexandria database). Values from VASP.

As for the symmetry: I-42d, No. 122. The calculation puts the density of states at the Fermi level at 2.9 states/eV per cell. As for the crystal system: tetragonal. The energy above the most stable polymorph in this dataset comes out at 159 meV per atom.

Cell and atoms, written as Quantum ESPRESSO input:
```
&SYSTEM
  ibrav = 0, nat = 8, ntyp = 3
/
ATOMIC_SPECIES
Sb 121.76 Sb.upf
Bi 208.98 Bi.upf
Se 78.96 Se.upf
CELL_PARAMETERS angstrom
7.627 0.000 0.000
0.000 7.627 0.000
3.814 3.814 5.284
ATOMIC_POSITIONS angstrom
Sb 0.000 0.000 0.000
Sb 7.627 3.814 2.642
Bi 5.644 1.907 1.321
Se 3.814 7.627 2.642
Bi 5.720 5.797 3.963
Se 3.814 3.814 0.000
Bi 9.534 9.457 3.963
Bi 1.984 5.720 1.321
```

***

3.
# Bi2SbSe

An optimized crystal structure of Bi2SbSe (PBE, the Alexandria database). Values from VASP.

As for the symmetry: R3m, No. 160. The calculation puts the density of states at the Fermi level at 2.3 states/eV per cell. As for the crystal system: trigonal. The energy above the most stable polymorph in this dataset comes out at 45 meV per atom.

Cell and atoms, written as Quantum ESPRESSO input:
```
&SYSTEM
  ibrav = 0, nat = 4, ntyp = 3
/
ATOMIC_SPECIES
Bi 208.98 Bi.upf
Sb 121.76 Sb.upf
Se 78.96 Se.upf
CELL_PARAMETERS angstrom
4.236 0.000 0.000
2.118 3.668 0.000
2.118 1.223 7.950
ATOMIC_POSITIONS angstrom
Bi 2.118 1.223 6.042
Bi 2.118 1.223 1.999
Sb 4.236 2.446 3.983
Se 6.354 3.668 7.852
```

***

4.
# BiSb2Se2

An optimized crystal structure of BiSb2Se2 (PBE, the Alexandria database). Values from VASP.

As for the symmetry: I4/mmm, No. 139. The calculation puts the density of states at the Fermi level at 3.5 states/eV per cell. As for the crystal system: tetragonal. The energy above the most stable polymorph in this dataset comes out at 244 meV per atom.

Cell and atoms, written as Quantum ESPRESSO input:
```
&SYSTEM
  ibrav = 0, nat = 5, ntyp = 3
/
ATOMIC_SPECIES
Bi 208.98 Bi.upf
Sb 121.76 Sb.upf
Se 78.96 Se.upf
CELL_PARAMETERS angstrom
-2.206 3.580 2.534
-4.244 -1.026 -2.245
-4.575 -2.621 4.478
ATOMIC_POSITIONS angstrom
Bi 0.000 0.000 0.000
Sb -3.573 0.273 1.261
Sb -7.452 -0.340 3.506
Se -5.003 1.118 3.578
Se -6.022 -1.185 1.189
```

***

5.
# BiSbSe

An optimized crystal structure of BiSbSe (PBE, the Alexandria database). Values from VASP.

As for the symmetry: P2_1/m, No. 11. The calculation puts the density of states at the Fermi level at 0.4 states/eV per cell. As for the crystal system: monoclinic. The energy above the most stable polymorph in this dataset comes out at 0 meV per atom.

Cell and atoms, written as Quantum ESPRESSO input:
```
&SYSTEM
  ibrav = 0, nat = 6, ntyp = 3
/
ATOMIC_SPECIES
Bi 208.98 Bi.upf
Se 78.96 Se.upf
Sb 121.76 Sb.upf
CELL_PARAMETERS angstrom
0.075 -0.895 4.084
-4.473 -1.398 -0.224
3.302 -9.526 2.134
ATOMIC_POSITIONS angstrom
Bi -1.975 -8.638 3.493
Se -1.761 -5.432 4.196
Bi 0.879 -3.180 2.500
Sb -1.240 -0.748 0.929
Se 0.664 -6.386 1.797
Sb 0.144 -11.070 5.064
```

***

6.
# Bi2SbSe2

An optimized crystal structure of Bi2SbSe2 (PBE, the Alexandria database). Values from VASP.

As for the symmetry: P2_1/m, No. 11. The calculation puts the density of states at the Fermi level at 2.3 states/eV per cell. As for the crystal system: monoclinic. The energy above the most stable polymorph in this dataset comes out at 0 meV per atom.

Cell and atoms, written as Quantum ESPRESSO input:
```
&SYSTEM
  ibrav = 0, nat = 10, ntyp = 3
/
ATOMIC_SPECIES
Bi 208.98 Bi.upf
Sb 121.76 Sb.upf
Se 78.96 Se.upf
CELL_PARAMETERS angstrom
-0.941 3.851 -1.448
-1.413 -2.288 -5.167
-11.911 -0.790 5.637
ATOMIC_POSITIONS angstrom
Bi -6.187 -1.015 -1.754
Sb -13.442 0.403 0.579
Bi -3.136 2.269 -1.153
Bi -8.077 1.787 0.775
Se -4.774 1.110 -3.173
Se -9.490 -0.337 2.195
Se -5.536 0.119 0.838
Bi -11.128 -1.496 0.174
Se -8.728 0.654 -1.816
Sb -0.822 0.370 -1.558
```

***

7.
# BiSbSe

An optimized crystal structure of BiSbSe (PBE, the Alexandria database). Values from VASP.

As for the symmetry: P3m1, No. 156. The calculation puts the density of states at the Fermi level at 1.3 states/eV per cell. As for the crystal system: trigonal. The energy above the most stable polymorph in this dataset comes out at 127 meV per atom.

Cell and atoms, written as Quantum ESPRESSO input:
```
&SYSTEM
  ibrav = 0, nat = 3, ntyp = 3
/
ATOMIC_SPECIES
Sb 121.76 Sb.upf
Se 78.96 Se.upf
Bi 208.98 Bi.upf
CELL_PARAMETERS angstrom
-0.206 2.275 -3.636
2.799 -3.237 0.352
-3.800 -3.501 -1.976
ATOMIC_POSITIONS angstrom
Sb -0.432 -0.694 -2.945
Se -0.019 -0.017 -0.010
Bi -0.756 -3.752 -2.305
```

***

8.
# BiSbSe4

An optimized crystal structure of BiSbSe4 (PBE, the Alexandria database). Values from VASP.

As for the symmetry: P2/m, No. 10. The calculation puts the density of states at the Fermi level at 3.0 states/eV per cell. As for the crystal system: monoclinic.

Cell and atoms, written as Quantum ESPRESSO input:
```
&SYSTEM
  ibrav = 0, nat = 6, ntyp = 3
/
ATOMIC_SPECIES
Sb 121.76 Sb.upf
Se 78.96 Se.upf
Bi 208.98 Bi.upf
CELL_PARAMETERS angstrom
4.003 0.000 0.000
0.000 6.388 0.564
0.000 0.665 6.861
ATOMIC_POSITIONS angstrom
Sb 0.000 0.000 0.000
Se 2.001 2.221 5.682
Se 0.000 1.900 1.976
Se 0.000 5.152 5.449
Bi 2.001 0.332 3.430
Se 2.001 4.831 1.743
```

***

9.
# Bi3SbSe

An optimized crystal structure of Bi3SbSe (PBE, the Alexandria database). Values from VASP.

As for the symmetry: Pm-3m, No. 221. The calculation puts the density of states at the Fermi level at 9.4 states/eV per cell. As for the crystal system: cubic. The energy above the most stable polymorph in this dataset comes out at 327 meV per atom.

Cell and atoms, written as Quantum ESPRESSO input:
```
&SYSTEM
  ibrav = 0, nat = 5, ntyp = 3
/
ATOMIC_SPECIES
Bi 208.98 Bi.upf
Se 78.96 Se.upf
Sb 121.76 Sb.upf
CELL_PARAMETERS angstrom
5.827 0.000 0.000
0.000 5.827 0.000
0.000 0.000 5.827
ATOMIC_POSITIONS angstrom
Bi 0.000 0.000 2.913
Se 2.913 2.913 2.913
Sb 0.000 0.000 0.000
Bi 0.000 2.913 0.000
Bi 2.913 0.000 0.000
```

***

10.
# BiSbSe3

An optimized crystal structure of BiSbSe3 (PBE, the Alexandria database). Values from VASP.

As for the symmetry: Pnma, No. 62. As for the crystal system: orthorhombic. The energy above the most stable polymorph in this dataset comes out at 0 meV per atom.

Cell and atoms, written as Quantum ESPRESSO input:
```
&SYSTEM
  ibrav = 0, nat = 20, ntyp = 3
/
ATOMIC_SPECIES
Se 78.96 Se.upf
Sb 121.76 Sb.upf
Bi 208.98 Bi.upf
CELL_PARAMETERS angstrom
4.127 0.000 0.000
0.000 10.987 0.000
0.000 0.000 13.748
ATOMIC_POSITIONS angstrom
Se 3.095 7.096 6.347
Se 1.032 1.966 10.910
Se 3.095 3.528 4.036
Se 1.032 3.891 7.401
Sb 3.095 0.379 11.910
Sb 1.032 10.609 1.838
Se 1.032 7.459 9.712
Bi 1.032 3.715 13.202
Bi 3.095 7.272 0.546
Bi 1.032 9.209 7.420
Bi 3.095 1.778 6.328
Se 3.095 9.022 2.838
Sb 1.032 5.115 5.036
Se 1.032 9.384 13.221
Se 3.095 5.227 11.976
Se 1.032 5.760 1.772
Se 3.095 1.603 0.527
Sb 3.095 5.872 8.713
Se 3.095 10.721 8.646
Se 1.032 0.267 5.102
```

***

11.
# Bi2SbSe4

An optimized crystal structure of Bi2SbSe4 (PBE, the Alexandria database). Values from VASP.

As for the symmetry: C2/m, No. 12. The calculation puts the density of states at the Fermi level at 1.7 states/eV per cell. As for the crystal system: monoclinic.

Cell and atoms, written as Quantum ESPRESSO input:
```
&SYSTEM
  ibrav = 0, nat = 7, ntyp = 3
/
ATOMIC_SPECIES
Se 78.96 Se.upf
Sb 121.76 Sb.upf
Bi 208.98 Bi.upf
CELL_PARAMETERS angstrom
-1.478 3.840 -0.264
-6.971 -2.712 -0.419
4.206 -0.084 7.444
ATOMIC_POSITIONS angstrom
Se 0.499 2.766 5.249
Sb 0.000 0.000 0.000
Bi 0.089 0.294 3.783
Se -2.494 -0.606 5.162
Se -4.742 -1.721 1.512
Bi -4.331 0.751 2.978
Se -1.748 1.650 1.599
```

***

12.
# Bi2SbSe

An optimized crystal structure of Bi2SbSe (PBE, the Alexandria database). Values from VASP.

As for the symmetry: R-3m, No. 166. The calculation puts the density of states at the Fermi level at 2.4 states/eV per cell. As for the crystal system: trigonal. The energy above the most stable polymorph in this dataset comes out at 0 meV per atom.

Cell and atoms, written as Quantum ESPRESSO input:
```
&SYSTEM
  ibrav = 0, nat = 4, ntyp = 3
/
ATOMIC_SPECIES
Bi 208.98 Bi.upf
Sb 121.76 Sb.upf
Se 78.96 Se.upf
CELL_PARAMETERS angstrom
-1.856 -3.082 2.816
2.671 -2.980 2.205
0.869 2.332 6.831
ATOMIC_POSITIONS angstrom
Bi 0.416 -0.967 2.922
Sb 0.842 -1.865 5.926
Bi 1.268 -2.763 8.931
Se 0.000 0.000 0.000
```

***

Going through the records in order, we get DFT total energy values of -3.8384, -3.7635, -3.8775, -3.5945, -3.9586, -3.9390, -3.8320, -3.8213, -2.9831, -4.0207, -3.9483, -3.9221 eV/atom.
Going through the records in order, we get total magnetization values of 0.00, 0.00, 0.00, 0.00, 0.00, 0.00, 0.00, 0.00, 0.00, 0.00, 0.00, 0.00 μB per formula unit.
Going through the records in order, we get formation energy (no corrections) values of -0.0195, 0.0787, -0.0353, 0.2245, -0.1293, -0.1684, -0.0027, -0.1644, 0.8669, -0.3293, -0.2593, -0.0799 eV per atom.